# 1
Here is crystalline Y4SnIr at its relaxed geometry from Alexandria via LeMat-Bulk. Energies are from PBE.

Output
E above lowest polymorph (meV per atom): 114
E_tot (eV/atom): -6.95

Cell lengths 7.4355, 7.0601, 6.9885 Å; angles 90.00, 92.08, 90.00 degrees
Positions (direct):
Y 0.1431 0.1651 0.1775
Y 0.1431 0.3349 0.6775
Y 0.3128 0.6488 0.1338
Y 0.3128 0.8512 0.6338
Y 0.6872 0.1488 0.3661
Y 0.6872 0.3512 0.8662
Y 0.8569 0.6651 0.3225
Y 0.8569 0.8349 0.8225
Sn 0.5000 0.0000 0.0000
Sn 0.5000 0.5000 0.5000
Ir 0.0000 0.0000 0.5000
Ir 0.0000 0.5000 0.0000

---

# 2
Here is crystalline PuTcGe at its relaxed geometry from Alexandria via LeMat-Bulk. Energies are from PBE.

Output
E above lowest polymorph (meV per atom): 182
E_tot (eV/atom): -9.92

Cell lengths 4.3912, 4.3912, 3.5198 Å; angles 90.00, 90.00, 120.00 degrees
Positions (direct):
Pu 0.0000 0.0000 0.0000
Tc 0.3333 0.6667 0.5000
Ge 0.6667 0.3333 0.5000

---

# 3
Here is crystalline TbCeTlRu at its relaxed geometry from Alexandria via LeMat-Bulk. Energies are from PBE.

Output
E above lowest polymorph (meV per atom): 0
E_tot (eV/atom): -5.92

Cell lengths 3.3959, 3.3959, 8.4305 Å; angles 90.00, 90.00, 90.00 degrees
Positions (direct):
Tb 0.0000 0.0000 0.0000
Ce 0.0000 0.0000 0.4084
Tl 0.5000 0.5000 0.7093
Ru 0.5000 0.5000 0.2059

---

# 4
Here is crystalline GePd6Au3 at its relaxed geometry from Alexandria via LeMat-Bulk. Energies are from PBE.

Output
E above lowest polymorph (meV per atom): 0
E_tot (eV/atom): -4.78

Cell lengths 8.6589, 4.1053, 9.1403 Å; angles 90.00, 95.88, 90.00 degrees
Positions (direct):
Ge 0.0814 0.2500 0.3664
Ge 0.9186 0.7500 0.6336
Pd 0.0433 0.7500 0.8906
Pd 0.1062 0.2500 0.6608
Pd 0.1602 0.7500 0.1850
Pd 0.2232 0.7500 0.4872
Pd 0.3533 0.2500 0.2957
Pd 0.4539 0.7500 0.0975
Pd 0.5461 0.2500 0.9025
Pd 0.6467 0.7500 0.7043
Pd 0.7768 0.2500 0.5128
Pd 0.8398 0.2500 0.8150
Pd 0.8938 0.7500 0.3392
Pd 0.9567 0.2500 0.1094
Au 0.2461 0.2500 0.9874
Au 0.3370 0.7500 0.7884
Au 0.4424 0.2500 0.5970
Au 0.5576 0.7500 0.4030
Au 0.6630 0.2500 0.2116
Au 0.7539 0.7500 0.0126

---

# 5
Here is crystalline Zr2OsPt at its relaxed geometry from Alexandria via LeMat-Bulk. Energies are from PBE.

Output
E_tot (eV/atom): -8.52

Cell lengths 9.3404, 9.3404, 9.3404 Å; angles 19.02, 19.02, 19.02 degrees
Positions (direct):
Zr 0.0000 0.0000 0.0000
Zr 0.2365 0.2365 0.2365
Os 0.7410 0.7410 0.7410
Pt 0.4894 0.4894 0.4894

---

# 6
Here is crystalline Sc2PtAu at its relaxed geometry from Alexandria via LeMat-Bulk. Energies are from PBE.

Output
E_tot (eV/atom): -6.52

Cell lengths 3.3261, 3.3261, 6.8179 Å; angles 90.00, 90.00, 90.00 degrees
Positions (direct):
Sc 0.0000 0.0000 0.2424
Sc 0.0000 0.0000 0.7576
Pt 0.5000 0.5000 0.0000
Au 0.5000 0.5000 0.5000

---

no.,ΔH_f (0 K) (eV per atom)
1,-0.4983
2,-0.1444
3,-0.3658
4,-0.2175
5,0.0692
6,-1.0220